[1]
## PmTiAs2 (PBE)

Data for an optimized crystal structure of PmTiAs2.

Geometry as CIF:
```
data_PmTiAs2
_chemical_formula_sum 'Pm4 Ti4 As8'
_symmetry_space_group_name_H-M 'F m -3 m'
_symmetry_Int_Tables_number 225
_symmetry_space_group_name_Hall '-F 4 2 3'
_cell_length_a 6.9215
_cell_length_b 6.9215
_cell_length_c 6.9215
_cell_angle_alpha 90.00
_cell_angle_beta 90.00
_cell_angle_gamma 90.00
loop_
_atom_site_label
_atom_site_type_symbol
_atom_site_fract_x
_atom_site_fract_y
_atom_site_fract_z
_atom_site_occupancy
Pm1 Pm 0.0000 0.0000 0.0000 1
Ti1 Ti 0.0000 0.0000 0.5000 1
As1 As 0.2500 0.2500 0.2500 1
```

Output
calculated total energy = -6.190 eV per atom

=====

[2]
## PmTiAs2 (PBE)

Data for an optimized crystal structure of PmTiAs2.

Geometry as CIF:
```
data_PmTiAs2
_chemical_formula_sum 'Pm3 Ti3 As6'
_symmetry_space_group_name_H-M 'R -3 m'
_symmetry_Int_Tables_number 166
_symmetry_space_group_name_Hall '-R 3 2"'
_cell_length_a 4.2513
_cell_length_b 4.2513
_cell_length_c 24.2082
_cell_angle_alpha 90.00
_cell_angle_beta 90.00
_cell_angle_gamma 120.00
loop_
_atom_site_label
_atom_site_type_symbol
_atom_site_fract_x
_atom_site_fract_y
_atom_site_fract_z
_atom_site_occupancy
Pm1 Pm 0.0000 0.0000 0.0000 1
Ti1 Ti 0.0000 0.0000 0.5000 1
As1 As 0.0000 0.0000 0.4011 1
```

Output
calculated total energy = -5.589 eV per atom

=====

[3]
## PmTlAs (PBE)

Data for an optimized crystal structure of PmTlAs.

Geometry as CIF:
```
data_PmTlAs
_chemical_formula_sum 'Pm1 Tl1 As1'
_symmetry_space_group_name_H-M 'P 3 m 1'
_symmetry_Int_Tables_number 156
_symmetry_space_group_name_Hall 'P 3 -2"'
_cell_length_a 4.5449
_cell_length_b 4.5449
_cell_length_c 5.0187
_cell_angle_alpha 90.00
_cell_angle_beta 90.00
_cell_angle_gamma 120.00
loop_
_atom_site_label
_atom_site_type_symbol
_atom_site_fract_x
_atom_site_fract_y
_atom_site_fract_z
_atom_site_occupancy
Pm1 Pm 0.0000 0.0000 0.0000 1
Tl1 Tl 0.3333 0.6667 0.5512 1
As1 As 0.6667 0.3333 0.2211 1
```

Output
calculated total energy = -4.388 eV per atom

=====

[4]
## PmTlAs2 (PBE)

Data for an optimized crystal structure of PmTlAs2.

Geometry as CIF:
```
data_PmTlAs2
_chemical_formula_sum 'Pm1 Tl1 As2'
_symmetry_space_group_name_H-M 'P 4/m m m'
_symmetry_Int_Tables_number 123
_symmetry_space_group_name_Hall '-P 4 2'
_cell_length_a 4.0212
_cell_length_b 4.0212
_cell_length_c 6.5549
_cell_angle_alpha 90.00
_cell_angle_beta 90.00
_cell_angle_gamma 90.00
loop_
_atom_site_label
_atom_site_type_symbol
_atom_site_fract_x
_atom_site_fract_y
_atom_site_fract_z
_atom_site_occupancy
Pm1 Pm 0.0000 0.0000 0.0000 1
Tl1 Tl 0.0000 0.0000 0.5000 1
As1 As 0.5000 0.5000 0.1925 1
```

Output
calculated total energy = -4.734 eV per atom

=====

[5]
## Pm2TlAs (PBE)

Data for an optimized crystal structure of Pm2TlAs.

Geometry as CIF:
```
data_Pm2TlAs
_chemical_formula_sum 'Pm2 Tl1 As1'
_symmetry_space_group_name_H-M 'P 4/m m m'
_symmetry_Int_Tables_number 123
_symmetry_space_group_name_Hall '-P 4 2'
_cell_length_a 3.8759
_cell_length_b 3.8759
_cell_length_c 7.0677
_cell_angle_alpha 90.00
_cell_angle_beta 90.00
_cell_angle_gamma 90.00
loop_
_atom_site_label
_atom_site_type_symbol
_atom_site_fract_x
_atom_site_fract_y
_atom_site_fract_z
_atom_site_occupancy
Pm1 Pm 0.0000 0.0000 0.2290 1
Tl1 Tl 0.5000 0.5000 0.5000 1
As1 As 0.5000 0.5000 0.0000 1
```

Output
calculated total energy = -4.872 eV per atom

=====

[6]
## Pm3TlAs (PBE)

Data for an optimized crystal structure of Pm3TlAs.

Geometry as CIF:
```
data_Pm3TlAs
_chemical_formula_sum 'Pm12 Tl4 As4'
_symmetry_space_group_name_H-M 'P n m a'
_symmetry_Int_Tables_number 62
_symmetry_space_group_name_Hall '-P 2ac 2n'
_cell_length_a 7.7397
_cell_length_b 4.6547
_cell_length_c 16.6090
_cell_angle_alpha 90.00
_cell_angle_beta 90.00
_cell_angle_gamma 90.00
loop_
_atom_site_label
_atom_site_type_symbol
_atom_site_fract_x
_atom_site_fract_y
_atom_site_fract_z
_atom_site_occupancy
Pm1 Pm 0.0153 0.2500 0.1011 1
Pm2 Pm 0.1291 0.7500 0.4451 1
Pm3 Pm 0.1883 0.2500 0.7239 1
Tl1 Tl 0.0925 0.2500 0.3080 1
As1 As 0.2230 0.7500 0.0394 1
```

Output
calculated total energy = -4.974 eV per atom

=====

[7]
## PmTl2As (PBE)

Data for an optimized crystal structure of PmTl2As.

Geometry as CIF:
```
data_PmTl2As
_chemical_formula_sum 'Pm1 Tl2 As1'
_symmetry_space_group_name_H-M 'P 4/m m m'
_symmetry_Int_Tables_number 123
_symmetry_space_group_name_Hall '-P 4 2'
_cell_length_a 4.4468
_cell_length_b 4.4468
_cell_length_c 5.3339
_cell_angle_alpha 90.00
_cell_angle_beta 90.00
_cell_angle_gamma 90.00
loop_
_atom_site_label
_atom_site_type_symbol
_atom_site_fract_x
_atom_site_fract_y
_atom_site_fract_z
_atom_site_occupancy
Pm1 Pm 0.0000 0.0000 0.0000 1
Tl1 Tl 0.0000 0.5000 0.5000 1
As1 As 0.5000 0.5000 0.0000 1
```

Output
calculated total energy = -3.970 eV per atom

=====

[8]
## PmTlAs2 (PBE)

Data for an optimized crystal structure of PmTlAs2.

Geometry as CIF:
```
data_PmTlAs2
_chemical_formula_sum 'Pm4 Tl4 As8'
_symmetry_space_group_name_H-M 'F m -3 m'
_symmetry_Int_Tables_number 225
_symmetry_space_group_name_Hall '-F 4 2 3'
_cell_length_a 7.3564
_cell_length_b 7.3564
_cell_length_c 7.3564
_cell_angle_alpha 90.00
_cell_angle_beta 90.00
_cell_angle_gamma 90.00
loop_
_atom_site_label
_atom_site_type_symbol
_atom_site_fract_x
_atom_site_fract_y
_atom_site_fract_z
_atom_site_occupancy
Pm1 Pm 0.0000 0.0000 0.0000 1
Tl1 Tl 0.0000 0.0000 0.5000 1
As1 As 0.2500 0.2500 0.2500 1
```

Output
calculated total energy = -4.474 eV per atom

=====

[9]
## Pm2TlAs (PBE)

Data for an optimized crystal structure of Pm2TlAs.

Geometry as CIF:
```
data_Pm2TlAs
_chemical_formula_sum 'Pm6 Tl3 As3'
_symmetry_space_group_name_H-M 'R -3 m'
_symmetry_Int_Tables_number 166
_symmetry_space_group_name_Hall '-R 3 2"'
_cell_length_a 4.1398
_cell_length_b 4.1398
_cell_length_c 23.9962
_cell_angle_alpha 90.00
_cell_angle_beta 90.00
_cell_angle_gamma 120.00
loop_
_atom_site_label
_atom_site_type_symbol
_atom_site_fract_x
_atom_site_fract_y
_atom_site_fract_z
_atom_site_occupancy
Pm1 Pm 0.0000 0.0000 0.2377 1
Tl1 Tl 0.0000 0.0000 0.0000 1
As1 As 0.0000 0.0000 0.5000 1
```

Output
calculated total energy = -5.042 eV per atom

=====

[10]
## PmTlAs2 (PBE)

Data for an optimized crystal structure of PmTlAs2.

Geometry as CIF:
```
data_PmTlAs2
_chemical_formula_sum 'Pm1 Tl1 As2'
_symmetry_space_group_name_H-M 'P 4/m m m'
_symmetry_Int_Tables_number 123
_symmetry_space_group_name_Hall '-P 4 2'
_cell_length_a 4.8954
_cell_length_b 4.8954
_cell_length_c 3.9638
_cell_angle_alpha 90.00
_cell_angle_beta 90.00
_cell_angle_gamma 90.00
loop_
_atom_site_label
_atom_site_type_symbol
_atom_site_fract_x
_atom_site_fract_y
_atom_site_fract_z
_atom_site_occupancy
Pm1 Pm 0.0000 0.0000 0.0000 1
Tl1 Tl 0.5000 0.5000 0.0000 1
As1 As 0.0000 0.5000 0.5000 1
```

Output
calculated total energy = -4.625 eV per atom

=====

[11]
## PmTlAs (PBE)

Data for an optimized crystal structure of PmTlAs.

Geometry as CIF:
```
data_PmTlAs
_chemical_formula_sum 'Pm2 Tl2 As2'
_symmetry_space_group_name_H-M 'I 4 m m'
_symmetry_Int_Tables_number 107
_symmetry_space_group_name_Hall 'I 4 -2'
_cell_length_a 4.1149
_cell_length_b 4.1149
_cell_length_c 11.7057
_cell_angle_alpha 90.00
_cell_angle_beta 90.00
_cell_angle_gamma 90.00
loop_
_atom_site_label
_atom_site_type_symbol
_atom_site_fract_x
_atom_site_fract_y
_atom_site_fract_z
_atom_site_occupancy
Pm1 Pm 0.0000 0.0000 0.0000 1
Tl1 Tl 0.0000 0.0000 0.7264 1
As1 As 0.0000 0.0000 0.4832 1
```

Output
calculated total energy = -4.500 eV per atom

=====

[12]
## Pm3TlAs (PBE)

Data for an optimized crystal structure of Pm3TlAs.

Geometry as CIF:
```
data_Pm3TlAs
_chemical_formula_sum 'Pm3 Tl1 As1'
_symmetry_space_group_name_H-M 'P m -3 m'
_symmetry_Int_Tables_number 221
_symmetry_space_group_name_Hall '-P 4 2 3'
_cell_length_a 5.5471
_cell_length_b 5.5471
_cell_length_c 5.5471
_cell_angle_alpha 90.00
_cell_angle_beta 90.00
_cell_angle_gamma 90.00
loop_
_atom_site_label
_atom_site_type_symbol
_atom_site_fract_x
_atom_site_fract_y
_atom_site_fract_z
_atom_site_occupancy
Pm1 Pm 0.0000 0.0000 0.5000 1
Tl1 Tl 0.5000 0.5000 0.5000 1
As1 As 0.0000 0.0000 0.0000 1
```

Output
calculated total energy = -4.765 eV per atom